# 1
This record from Alexandria describes crystalline Ho2MgAg2 at its relaxed geometry. The functional is GGA-PBE.

```
data_Ho2MgAg2
_chemical_formula_sum 'Ho4 Mg2 Ag4'
_space_group_name_H-M_alt 'P 4/m b m'
_space_group_IT_number 127
_space_group_name_Hall '-P 4 2ab'
_cell_length_a 7.913
_cell_length_b 7.913
_cell_length_c 3.871
_cell_angle_alpha 90.00
_cell_angle_beta 90.00
_cell_angle_gamma 90.00
loop_
_atom_site_label
_atom_site_type_symbol
_atom_site_fract_x
_atom_site_fract_y
_atom_site_fract_z
_atom_site_occupancy
Ho1 Ho 0.168 0.332 0.000 1
Mg1 Mg 0.000 0.000 0.500 1
Ag1 Ag 0.130 0.630 0.500 1
```

Computed properties:
size of the total moment: 0.000 μB/atom
formation enthalpy at 0 K: -26.0 kJ/mol of atoms

# 2
This record from Alexandria describes crystalline Ho4Mg5Ag2 at its relaxed geometry. The functional is GGA-PBE.

```
data_Ho4Mg5Ag2
_chemical_formula_sum 'Ho4 Mg5 Ag2'
_space_group_name_H-M_alt 'P 1 2/m 1'
_space_group_IT_number 10
_cell_length_a 7.907
_cell_length_b 3.464
_cell_length_c 10.271
_cell_angle_alpha 90.00
_cell_angle_beta 93.26
_cell_angle_gamma 90.00
loop_
_space_group_symop_operation_xyz
'x,y,z'
'-x,-y,-z'
'-x,y,-z'
'x,-y,z'
loop_
_atom_site_label
_atom_site_type_symbol
_atom_site_fract_x
_atom_site_fract_y
_atom_site_fract_z
_atom_site_occupancy
Ho1 Ho 0.160 0.000 0.374 1
Ho2 Ho 0.251 0.000 0.949 1
Mg1 Mg 0.196 0.500 0.663 1
Mg2 Mg 0.439 0.500 0.199 1
Mg3 Mg 0.500 0.500 0.500 1
Ag1 Ag 0.060 0.500 0.139 1
```

Computed properties:
size of the total moment: 0.000 μB/atom
formation enthalpy at 0 K: -10.7 kJ/mol of atoms

# 3
This record from Alexandria describes crystalline Ho2MgAg3 at its relaxed geometry. The functional is GGA-PBE.

```
data_Ho2MgAg3
_chemical_formula_sum 'Ho2 Mg1 Ag3'
_space_group_name_H-M_alt 'P 4/m m m'
_space_group_IT_number 123
_space_group_name_Hall '-P 4 2'
_cell_length_a 3.536
_cell_length_b 3.536
_cell_length_c 10.629
_cell_angle_alpha 90.00
_cell_angle_beta 90.00
_cell_angle_gamma 90.00
loop_
_atom_site_label
_atom_site_type_symbol
_atom_site_fract_x
_atom_site_fract_y
_atom_site_fract_z
_atom_site_occupancy
Ho1 Ho 0.000 0.000 0.175 1
Mg1 Mg 0.000 0.000 0.500 1
Ag1 Ag 0.500 0.500 0.000 1
Ag2 Ag 0.500 0.500 0.350 1
```

Computed properties:
ΔE to the lowest computed polymorph: 15 meV/atom
size of the total moment: 0.000 μB/atom
formation enthalpy at 0 K: -27.3 kJ/mol of atoms

# 4
This record from Alexandria describes crystalline HoMgAg at its relaxed geometry. The functional is GGA-PBE.

```
data_HoMgAg
_chemical_formula_sum 'Ho1 Mg1 Ag1'
_space_group_name_H-M_alt 'P -6 m 2'
_space_group_IT_number 187
_space_group_name_Hall 'P -6 2'
_cell_length_a 4.8881
_cell_length_b 4.8881
_cell_length_c 3.3782
_cell_angle_alpha 90.00
_cell_angle_beta 90.00
_cell_angle_gamma 120.00
loop_
_atom_site_label
_atom_site_type_symbol
_atom_site_fract_x
_atom_site_fract_y
_atom_site_fract_z
_atom_site_occupancy
Ho1 Ho 0.0000 0.0000 0.0000 1
Mg1 Mg 0.3333 0.6667 0.5000 1
Ag1 Ag 0.6667 0.3333 0.5000 1
```

Computed properties:
size of the total moment: 0.000 μB/atom
formation enthalpy at 0 K: -16.3 kJ/mol of atoms

# 5
This record from Alexandria describes crystalline HoMg6Ag2 at its relaxed geometry. The functional is GGA-PBE.

```
data_HoMg6Ag2
_chemical_formula_sum 'Ho1 Mg6 Ag2'
_space_group_name_H-M_alt 'P 4/m m m'
_space_group_IT_number 123
_space_group_name_Hall '-P 4 2'
_cell_length_a 4.266
_cell_length_b 4.266
_cell_length_c 11.125
_cell_angle_alpha 90.00
_cell_angle_beta 90.00
_cell_angle_gamma 90.00
loop_
_atom_site_label
_atom_site_type_symbol
_atom_site_fract_x
_atom_site_fract_y
_atom_site_fract_z
_atom_site_occupancy
Ho1 Ho 0.000 0.000 0.000 1
Mg1 Mg 0.000 0.000 0.500 1
Mg2 Mg 0.000 0.500 0.282 1
Mg3 Mg 0.500 0.500 0.500 1
Ag1 Ag 0.500 0.500 0.121 1
```

Computed properties:
size of the total moment: 0.000 μB/atom
formation enthalpy at 0 K: -9.6 kJ/mol of atoms

# 6
This record from Alexandria describes crystalline Ho3Mg2Ag4 at its relaxed geometry. The functional is GGA-PBE.

```
data_Ho3Mg2Ag4
_chemical_formula_sum 'Ho3 Mg2 Ag4'
_space_group_name_H-M_alt 'P -3 m 1'
_space_group_IT_number 164
_space_group_name_Hall '-P 3 2"'
_cell_length_a 5.0181
_cell_length_b 5.0181
_cell_length_c 9.2553
_cell_angle_alpha 90.00
_cell_angle_beta 90.00
_cell_angle_gamma 120.00
loop_
_atom_site_label
_atom_site_type_symbol
_atom_site_fract_x
_atom_site_fract_y
_atom_site_fract_z
_atom_site_occupancy
Ho1 Ho 0.0000 0.0000 0.0000 1
Ho2 Ho 0.3333 0.6667 0.5943 1
Mg1 Mg 0.3333 0.6667 0.2218 1
Ag1 Ag 0.0000 0.0000 0.3381 1
Ag2 Ag 0.3333 0.6667 0.9163 1
```

Computed properties:
size of the total moment: 0.000 μB/atom
formation enthalpy at 0 K: -22.9 kJ/mol of atoms